First-principles (PBE-GGA) data for ErThCuPd after structural relaxation, as listed in Alexandria via LeMat-Bulk.

```
data_ErThCuPd
_cell_length_a 4.584
_cell_length_b 3.724
_cell_length_c 10.700
_cell_angle_alpha 90.00
_cell_angle_beta 90.00
_cell_angle_gamma 90.00
_symmetry_space_group_name_H-M 'P 1'
_symmetry_Int_Tables_number 1
loop_
_symmetry_equiv_pos_as_xyz
'x,y,z'
loop_
_atom_site_label
_atom_site_fract_x
_atom_site_fract_y
_atom_site_fract_z
Er1 0.000 0.000 0.000
Er2 0.000 0.500 0.500
Th1 0.500 0.000 0.281
Th2 0.500 0.500 0.781
Cu1 0.000 0.000 0.719
Cu2 0.000 0.500 0.219
Pd1 0.500 0.000 0.560
Pd2 0.500 0.500 0.060
```

## Properties
ΔE to the lowest computed polymorph = 0 meV per atom
Energy relative to the elements = -0.52 eV per atom
Calculated density = 10.4 g cm⁻³
SG = Amm2
E = -0.4287 Ry per atom
Density of states at the Fermi level = 0.88 states/eV/atom


First-principles (PBE-GGA) data for ErThCuPd after structural relaxation, as listed in Alexandria via LeMat-Bulk.

```
data_ErThCuPd
_cell_length_a 7.100
_cell_length_b 7.100
_cell_length_c 7.100
_cell_angle_alpha 90.00
_cell_angle_beta 90.00
_cell_angle_gamma 90.00
_symmetry_space_group_name_H-M 'P 1'
_symmetry_Int_Tables_number 1
loop_
_symmetry_equiv_pos_as_xyz
'x,y,z'
loop_
_atom_site_label
_atom_site_fract_x
_atom_site_fract_y
_atom_site_fract_z
Er1 0.000 0.000 0.000
Er2 0.000 0.500 0.500
Er3 0.500 0.000 0.500
Er4 0.500 0.500 0.000
Th1 0.000 0.000 0.500
Th2 0.000 0.500 0.000
Th3 0.500 0.000 0.000
Th4 0.500 0.500 0.500
Cu1 0.250 0.250 0.750
Cu2 0.250 0.750 0.250
Cu3 0.750 0.250 0.250
Cu4 0.750 0.750 0.750
Pd1 0.250 0.250 0.250
Pd2 0.250 0.750 0.750
Pd3 0.750 0.250 0.750
Pd4 0.750 0.750 0.250
```

## Properties
ΔE to the lowest computed polymorph = 65 meV per atom
Energy relative to the elements = -0.45 eV per atom
Calculated density = 10.6 g cm⁻³
SG = F-43m
E = -0.4239 Ry per atom
Density of states at the Fermi level = 1.09 states/eV/atom


First-principles (PBE-GGA) data for ErTiCuPd after structural relaxation, as listed in Alexandria via LeMat-Bulk.

```
data_ErTiCuPd
_cell_length_a 6.620
_cell_length_b 6.620
_cell_length_c 6.620
_cell_angle_alpha 90.00
_cell_angle_beta 90.00
_cell_angle_gamma 90.00
_symmetry_space_group_name_H-M 'P 1'
_symmetry_Int_Tables_number 1
loop_
_symmetry_equiv_pos_as_xyz
'x,y,z'
loop_
_atom_site_label
_atom_site_fract_x
_atom_site_fract_y
_atom_site_fract_z
Er1 0.000 0.000 0.000
Er2 0.000 0.500 0.500
Er3 0.500 0.000 0.500
Er4 0.500 0.500 0.000
Ti1 0.000 0.000 0.500
Ti2 0.000 0.500 0.000
Ti3 0.500 0.000 0.000
Ti4 0.500 0.500 0.500
Cu1 0.250 0.250 0.250
Cu2 0.250 0.750 0.750
Cu3 0.750 0.250 0.750
Cu4 0.750 0.750 0.250
Pd1 0.250 0.250 0.750
Pd2 0.250 0.750 0.250
Pd3 0.750 0.250 0.250
Pd4 0.750 0.750 0.750
```

## Properties
Energy relative to the elements = -0.32 eV per atom
Calculated density = 8.8 g cm⁻³
SG = F-43m
E = -0.4233 Ry per atom
Density of states at the Fermi level = 1.31 states/eV/atom


First-principles (PBE-GGA) data for ErTmCuPd after structural relaxation, as listed in Alexandria via LeMat-Bulk.

```
data_ErTmCuPd
_cell_length_a 4.517
_cell_length_b 3.663
_cell_length_c 10.329
_cell_angle_alpha 90.00
_cell_angle_beta 90.00
_cell_angle_gamma 90.00
_symmetry_space_group_name_H-M 'P 1'
_symmetry_Int_Tables_number 1
loop_
_symmetry_equiv_pos_as_xyz
'x,y,z'
loop_
_atom_site_label
_atom_site_fract_x
_atom_site_fract_y
_atom_site_fract_z
Er1 0.000 0.000 0.000
Er2 0.000 0.500 0.500
Tm1 0.500 0.000 0.722
Tm2 0.500 0.500 0.222
Cu1 0.000 0.000 0.281
Cu2 0.000 0.500 0.781
Pd1 0.500 0.000 0.440
Pd2 0.500 0.500 0.940
```

## Properties
ΔE to the lowest computed polymorph = 0 meV per atom
Energy relative to the elements = -0.63 eV per atom
Calculated density = 9.8 g cm⁻³
SG = Amm2
E = -0.3831 Ry per atom
Density of states at the Fermi level = 0.52 states/eV/atom


First-principles (PBE-GGA) data for ErTmCuPd after structural relaxation, as listed in Alexandria via LeMat-Bulk.

```
data_ErTmCuPd
_cell_length_a 6.907
_cell_length_b 6.907
_cell_length_c 6.907
_cell_angle_alpha 90.00
_cell_angle_beta 90.00
_cell_angle_gamma 90.00
_symmetry_space_group_name_H-M 'P 1'
_symmetry_Int_Tables_number 1
loop_
_symmetry_equiv_pos_as_xyz
'x,y,z'
loop_
_atom_site_label
_atom_site_fract_x
_atom_site_fract_y
_atom_site_fract_z
Er1 0.000 0.000 0.000
Er2 0.000 0.500 0.500
Er3 0.500 0.000 0.500
Er4 0.500 0.500 0.000
Tm1 0.000 0.000 0.500
Tm2 0.000 0.500 0.000
Tm3 0.500 0.000 0.000
Tm4 0.500 0.500 0.500
Cu1 0.250 0.250 0.750
Cu2 0.250 0.750 0.250
Cu3 0.750 0.250 0.250
Cu4 0.750 0.750 0.750
Pd1 0.250 0.250 0.250
Pd2 0.250 0.750 0.750
Pd3 0.750 0.250 0.750
Pd4 0.750 0.750 0.250
```

## Properties
ΔE to the lowest computed polymorph = 28 meV per atom
Energy relative to the elements = -0.60 eV per atom
Calculated density = 10.2 g cm⁻³
SG = F-43m
E = -0.3811 Ry per atom
Density of states at the Fermi level = 0.79 states/eV/atom


First-principles (PBE-GGA) data for YErCuPd after structural relaxation, as listed in Alexandria via LeMat-Bulk.

```
data_YErCuPd
_cell_length_a 6.968
_cell_length_b 6.968
_cell_length_c 6.968
_cell_angle_alpha 90.00
_cell_angle_beta 90.00
_cell_angle_gamma 90.00
_symmetry_space_group_name_H-M 'P 1'
_symmetry_Int_Tables_number 1
loop_
_symmetry_equiv_pos_as_xyz
'x,y,z'
loop_
_atom_site_label
_atom_site_fract_x
_atom_site_fract_y
_atom_site_fract_z
Y1 0.000 0.000 0.000
Y2 0.000 0.500 0.500
Y3 0.500 0.000 0.500
Y4 0.500 0.500 0.000
Er1 0.000 0.000 0.500
Er2 0.000 0.500 0.000
Er3 0.500 0.000 0.000
Er4 0.500 0.500 0.500
Cu1 0.250 0.250 0.250
Cu2 0.250 0.750 0.750
Cu3 0.750 0.250 0.750
Cu4 0.750 0.750 0.250
Pd1 0.250 0.250 0.750
Pd2 0.250 0.750 0.250
Pd3 0.750 0.250 0.250
Pd4 0.750 0.750 0.750
```

## Properties
ΔE to the lowest computed polymorph = 32 meV per atom
Energy relative to the elements = -0.58 eV per atom
Calculated density = 8.4 g cm⁻³
SG = F-43m
E = -0.4157 Ry per atom
Density of states at the Fermi level = 0.74 states/eV/atom


First-principles (PBE-GGA) data for YErCuPd after structural relaxation, as listed in Alexandria via LeMat-Bulk.

```
data_YErCuPd
_cell_length_a 4.519
_cell_length_b 3.711
_cell_length_c 10.456
_cell_angle_alpha 90.00
_cell_angle_beta 90.00
_cell_angle_gamma 90.00
_symmetry_space_group_name_H-M 'P 1'
_symmetry_Int_Tables_number 1
loop_
_symmetry_equiv_pos_as_xyz
'x,y,z'
loop_
_atom_site_label
_atom_site_fract_x
_atom_site_fract_y
_atom_site_fract_z
Y1 0.000 0.000 0.000
Y2 0.000 0.500 0.500
Er1 0.500 0.000 0.722
Er2 0.500 0.500 0.222
Cu1 0.500 0.000 0.439
Cu2 0.500 0.500 0.939
Pd1 0.000 0.000 0.281
Pd2 0.000 0.500 0.781
```

## Properties
ΔE to the lowest computed polymorph = 0 meV per atom
Energy relative to the elements = -0.61 eV per atom
Calculated density = 8.1 g cm⁻³
SG = Amm2
E = -0.4181 Ry per atom
Density of states at the Fermi level = 0.58 states/eV/atom


First-principles (PBE-GGA) data for ErZn2CuPd4 after structural relaxation, as listed in Alexandria via LeMat-Bulk.

```
data_ErZn2CuPd4
_cell_length_a 8.004
_cell_length_b 8.004
_cell_length_c 8.004
_cell_angle_alpha 32.02
_cell_angle_beta 32.02
_cell_angle_gamma 32.02
_symmetry_space_group_name_H-M 'P 1'
_symmetry_Int_Tables_number 1
loop_
_symmetry_equiv_pos_as_xyz
'x,y,z'
loop_
_atom_site_label
_atom_site_fract_x
_atom_site_fract_y
_atom_site_fract_z
Er1 0.000 0.000 0.000
Zn1 0.244 0.244 0.244
Zn2 0.756 0.756 0.756
Cu1 0.500 0.500 0.500
Pd1 0.127 0.127 0.127
Pd2 0.388 0.388 0.388
Pd3 0.612 0.612 0.612
Pd4 0.873 0.873 0.873
```

## Properties
Energy relative to the elements = -0.57 eV per atom
Calculated density = 10.2 g cm⁻³
SG = R-3m
E = -0.3353 Ry per atom
Density of states at the Fermi level = 0.41 states/eV/atom


First-principles (PBE-GGA) data for Er4ZnCuPd2 after structural relaxation, as listed in Alexandria via LeMat-Bulk.

```
data_Er4ZnCuPd2
_cell_length_a 8.532
_cell_length_b 8.532
_cell_length_c 8.532
_cell_angle_alpha 33.57
_cell_angle_beta 33.57
_cell_angle_gamma 33.57
_symmetry_space_group_name_H-M 'P 1'
_symmetry_Int_Tables_number 1
loop_
_symmetry_equiv_pos_as_xyz
'x,y,z'
loop_
_atom_site_label
_atom_site_fract_x
_atom_site_fract_y
_atom_site_fract_z
Er1 0.123 0.123 0.123
Er2 0.373 0.373 0.373
Er3 0.627 0.627 0.627
Er4 0.877 0.877 0.877
Zn1 0.500 0.500 0.500
Cu1 0.000 0.000 0.000
Pd1 0.248 0.248 0.248
Pd2 0.752 0.752 0.752
```

## Properties
Energy relative to the elements = -0.62 eV per atom
Calculated density = 9.9 g cm⁻³
SG = R-3m
E = -0.3581 Ry per atom
Density of states at the Fermi level = 0.51 states/eV/atom


First-principles (PBE-GGA) data for Er2Zn2CuPd5 after structural relaxation, as listed in Alexandria via LeMat-Bulk.

```
data_Er2Zn2CuPd5
_cell_length_a 9.547
_cell_length_b 9.547
_cell_length_c 3.753
_cell_angle_alpha 90.00
_cell_angle_beta 90.00
_cell_angle_gamma 90.00
_symmetry_space_group_name_H-M 'P 1'
_symmetry_Int_Tables_number 1
loop_
_symmetry_equiv_pos_as_xyz
'x,y,z'
loop_
_atom_site_label
_atom_site_fract_x
_atom_site_fract_y
_atom_site_fract_z
Er1 0.176 0.324 0.000
Er2 0.324 0.824 0.000
Er3 0.676 0.176 0.000
Er4 0.824 0.676 0.000
Zn1 0.123 0.623 0.000
Zn2 0.377 0.123 0.000
Zn3 0.623 0.877 0.000
Zn4 0.877 0.377 0.000
Cu1 0.000 0.000 0.000
Cu2 0.500 0.500 0.000
Pd1 0.000 0.500 0.500
Pd2 0.067 0.801 0.500
Pd3 0.199 0.067 0.500
Pd4 0.301 0.567 0.500
Pd5 0.433 0.301 0.500
Pd6 0.500 0.000 0.500
Pd7 0.567 0.699 0.500
Pd8 0.699 0.433 0.500
Pd9 0.801 0.933 0.500
Pd10 0.933 0.199 0.500
```

## Properties
Energy relative to the elements = -0.62 eV per atom
Calculated density = 10.3 g cm⁻³
SG = P4/mbm
E = -0.3525 Ry per atom
Density of states at the Fermi level = 0.38 states/eV/atom


First-principles (PBE-GGA) data for ErZrCuPd after structural relaxation, as listed in Alexandria via LeMat-Bulk.

```
data_ErZrCuPd
_cell_length_a 6.783
_cell_length_b 6.783
_cell_length_c 6.783
_cell_angle_alpha 90.00
_cell_angle_beta 90.00
_cell_angle_gamma 90.00
_symmetry_space_group_name_H-M 'P 1'
_symmetry_Int_Tables_number 1
loop_
_symmetry_equiv_pos_as_xyz
'x,y,z'
loop_
_atom_site_label
_atom_site_fract_x
_atom_site_fract_y
_atom_site_fract_z
Er1 0.000 0.000 0.000
Er2 0.000 0.500 0.500
Er3 0.500 0.000 0.500
Er4 0.500 0.500 0.000
Zr1 0.000 0.000 0.500
Zr2 0.000 0.500 0.000
Zr3 0.500 0.000 0.000
Zr4 0.500 0.500 0.500
Cu1 0.250 0.250 0.250
Cu2 0.250 0.750 0.750
Cu3 0.750 0.250 0.750
Cu4 0.750 0.750 0.250
Pd1 0.250 0.250 0.750
Pd2 0.250 0.750 0.250
Pd3 0.750 0.250 0.250
Pd4 0.750 0.750 0.750
```

## Properties
Energy relative to the elements = -0.42 eV per atom
Calculated density = 9.1 g cm⁻³
SG = F-43m
E = -0.4422 Ry per atom
Density of states at the Fermi level = 0.97 states/eV/atom


First-principles (PBE-GGA) data for PmErCu after structural relaxation, as listed in Alexandria via LeMat-Bulk.

```
data_PmErCu
_cell_length_a 8.494
_cell_length_b 8.494
_cell_length_c 8.494
_cell_angle_alpha 146.78
_cell_angle_beta 59.59
_cell_angle_gamma 132.03
_symmetry_space_group_name_H-M 'P 1'
_symmetry_Int_Tables_number 1
loop_
_symmetry_equiv_pos_as_xyz
'x,y,z'
loop_
_atom_site_label
_atom_site_fract_x
_atom_site_fract_y
_atom_site_fract_z
Pm1 0.000 0.000 0.000
Pm2 0.160 0.487 0.673
Pm3 0.814 0.487 0.327
Er1 0.327 0.987 0.340
Er2 0.500 0.500 0.000
Er3 0.648 0.987 0.660
Cu1 0.253 0.753 0.500
Cu2 0.569 0.735 0.834
Cu3 0.901 0.735 0.166
```

## Properties
ΔE to the lowest computed polymorph = 196 meV per atom
Energy relative to the elements = 0.08 eV per atom
Calculated density = 7.6 g cm⁻³
SG = Imm2
E = -0.3229 Ry per atom
Density of states at the Fermi level = 1.50 states/eV/atom


First-principles (PBE-GGA) data for PmErCu after structural relaxation, as listed in Alexandria via LeMat-Bulk.

```
data_PmErCu
_cell_length_a 4.784
_cell_length_b 4.784
_cell_length_c 3.850
_cell_angle_alpha 90.00
_cell_angle_beta 90.00
_cell_angle_gamma 120.00
_symmetry_space_group_name_H-M 'P 1'
_symmetry_Int_Tables_number 1
loop_
_symmetry_equiv_pos_as_xyz
'x,y,z'
loop_
_atom_site_label
_atom_site_fract_x
_atom_site_fract_y
_atom_site_fract_z
Pm1 0.000 0.000 0.000
Er1 0.667 0.333 0.527
Cu1 0.333 0.667 0.333
```

## Properties
ΔE to the lowest computed polymorph = 172 meV per atom
Energy relative to the elements = 0.05 eV per atom
Calculated density = 8.2 g cm⁻³
SG = P3m1
E = -0.3246 Ry per atom
Density of states at the Fermi level = 1.10 states/eV/atom